Entry 1:
VASP calculation (GGA-PBE) on a relaxed Cs3SeS crystal.

Output
raw formation energy = -4.72 eV per formula unit
crystal system = monoclinic

a = 8.1200 Å, b = 11.6508 Å, c = 11.0334 Å
α = 106.90°, β = 90.00°, γ = 90.00°
Last column: nearest neighbours and their distance in Å.
Atoms (fractional coordinates):
Se (0.6469, 0.9976, 0.5217)  1 Se 2.44
Se (0.8531, 0.4976, 0.5217)  1 Se 2.44
Se (0.3531, 0.0024, 0.4783)  1 Se 2.44
Se (0.1469, 0.5024, 0.4783)  1 Se 2.44
Cs (0.5832, 0.2428, 0.4022)  1 S 3.37, 3 Se 3.52-3.66
Cs (0.4168, 0.7572, 0.5978)  1 S 3.37, 3 Se 3.52-3.66
Cs (0.5196, 0.8990, 0.1506)  3 S 3.42-3.57, 1 Se 3.72
Cs (0.0832, 0.2572, 0.5978)  1 S 3.37, 3 Se 3.52-3.66
Cs (0.4804, 0.1010, 0.8494)  3 S 3.42-3.57, 1 Se 3.72
Cs (0.9957, 0.0671, 0.8482)  3 S 3.44-3.76
Cs (0.4957, 0.4329, 0.1519)  3 S 3.44-3.76
Cs (0.0196, 0.6010, 0.8494)  3 S 3.42-3.57, 1 Se 3.72
Cs (0.5043, 0.5671, 0.8482)  3 S 3.44-3.76
Cs (0.0043, 0.9329, 0.1519)  3 S 3.44-3.76
Cs (0.9804, 0.3990, 0.1506)  3 S 3.42-3.57, 1 Se 3.72
Cs (0.9168, 0.7428, 0.4022)  1 S 3.37, 3 Se 3.52-3.66
S (0.7603, 0.6493, 0.1071)  7 Cs 3.37-3.76
S (0.2397, 0.3507, 0.8929)  7 Cs 3.37-3.76
S (0.2603, 0.8507, 0.8929)  7 Cs 3.37-3.76
S (0.7397, 0.1493, 0.1071)  7 Cs 3.37-3.76

Entry 2:
VASP calculation (GGA-PBE) on a relaxed Cs2Se4S3 crystal.

Output
raw formation energy = -4.09 eV per formula unit
crystal system = monoclinic

a = 13.0177 Å, b = 18.5300 Å, c = 18.5300 Å
α = 33.51°, β = 155.98°, γ = 155.98°
Last column: nearest neighbours and their distance in Å.
Atoms (fractional coordinates):
S (0.5569, 0.7610, 0.9834)  1 Se 2.18
S (0.2500, 0.6071, 0.3929)  2 Se 2.26
S (0.9431, 0.0166, 0.2390)  1 Se 2.18
S (0.7500, 0.3929, 0.6071)  2 Se 2.26
S (0.0569, 0.9834, 0.7610)  1 Se 2.18
S (0.4431, 0.2390, 0.0166)  1 Se 2.18
Se (0.7843, 0.2369, 0.6806)  1 S 2.26, 1 Se 2.40
Se (0.7114, 0.5196, 0.9617)  1 S 2.18, 1 Se 2.40
Se (0.2886, 0.4804, 0.0383)  1 S 2.18, 1 Se 2.40
Se (0.2157, 0.7631, 0.3194)  1 S 2.26, 1 Se 2.40
Se (0.7157, 0.3194, 0.7631)  1 S 2.26, 1 Se 2.40
Se (0.2114, 0.9617, 0.5196)  1 S 2.18, 1 Se 2.40
Se (0.2843, 0.6806, 0.2369)  1 S 2.26, 1 Se 2.40
Se (0.7886, 0.0383, 0.4804)  1 S 2.18, 1 Se 2.40
Cs (0.3543, 0.1727, 0.2029)  4 S 3.52-3.74
Cs (0.8543, 0.2030, 0.1727)  4 S 3.52-3.74
Cs (0.6457, 0.8273, 0.7971)  4 S 3.52-3.74
Cs (0.1457, 0.7970, 0.8273)  4 S 3.52-3.74

Entry 3:
VASP calculation (GGA-PBE) on a relaxed Cs10Se4S crystal.

Output
raw formation energy = -15.96 eV per formula unit
crystal system = tetragonal

a = 8.4570 Å, b = 10.3520 Å, c = 10.3520 Å
α = 80.40°, β = 65.89°, γ = 65.89°
Last column: nearest neighbours and their distance in Å.
Atoms (fractional coordinates):
Se (0.2012, 0.3992, 0.1984)  8 Cs 3.67-3.68
Se (0.3996, 0.8016, 0.3992)  8 Cs 3.67-3.68
Se (0.7988, 0.6008, 0.8016)  8 Cs 3.67-3.68
Se (0.6004, 0.1984, 0.6008)  8 Cs 3.67-3.68
Cs (0.4425, 0.9018, 0.7047)  1 S 3.60, 3 Se 3.67-3.68
Cs (0.3443, 0.7047, 0.0982)  1 S 3.60, 3 Se 3.67-3.68
Cs (0.2500, 0.5000, 0.5000)  4 Se 3.67
Cs (0.5575, 0.0982, 0.2953)  1 S 3.60, 3 Se 3.67-3.68
Cs (0.7500, 0.5000, 0.5000)  4 Se 3.67
Cs (0.6557, 0.2953, 0.9018)  1 S 3.60, 3 Se 3.67-3.68
Cs (0.1472, 0.2953, 0.9018)  1 S 3.60, 3 Se 3.67-3.68
Cs (0.0490, 0.0982, 0.2953)  1 S 3.60, 3 Se 3.67-3.68
Cs (0.8528, 0.7047, 0.0982)  1 S 3.60, 3 Se 3.67-3.68
Cs (0.9510, 0.9018, 0.7047)  1 S 3.60, 3 Se 3.67-3.68
S (0.0000, 0.0000, 0.0000)  8 Cs 3.60

Entry 4:
VASP calculation (GGA-PBE) on a relaxed Cs2Se2S crystal.

Output
raw formation energy = -3.13 eV per formula unit
crystal system = tetragonal

a = 7.1008 Å, b = 7.1008 Å, c = 6.3087 Å
α = 55.75°, β = 55.75°, γ = 90.00°
Last column: nearest neighbours and their distance in Å.
Atoms (fractional coordinates):
Se (0.3280, 0.3280, 0.3440)  1 S 2.51, 1 Se 2.63
Se (0.6720, 0.6720, 0.6560)  1 S 2.51, 1 Se 2.63
Cs (0.7500, 0.2500, 0.5000)  4 Se 3.60, 2 Cs 3.82, 4 S 4.03
Cs (0.2500, 0.7500, 0.5000)  4 Se 3.60, 2 Cs 3.82, 4 S 4.03
S (0.0000, 0.0000, 0.0000)  2 Se 2.51

Entry 5:
VASP calculation (GGA-PBE) on a relaxed Cs2Se2S crystal.

Output
raw formation energy = -2.86 eV per formula unit
crystal system = tetragonal

a = 7.9662 Å, b = 7.9662 Å, c = 5.4542 Å
α = 90.00°, β = 90.00°, γ = 90.00°
Last column: nearest neighbours and their distance in Å.
Atoms (fractional coordinates):
S (0.0000, 0.0000, 0.0000)  4 Se 3.26
S (0.5000, 0.5000, 0.0000)  4 Se 3.26
Cs (0.6912, 0.8088, 0.5000)  6 Se 3.57-3.67, 4 S 3.98
Cs (0.1912, 0.6912, 0.5000)  6 Se 3.57-3.67, 4 S 3.98
Cs (0.8088, 0.3088, 0.5000)  6 Se 3.57-3.67, 4 S 3.98
Cs (0.3088, 0.1912, 0.5000)  6 Se 3.57-3.67, 4 S 3.98
Se (0.6047, 0.1047, 0.0000)  1 Se 2.36
Se (0.3953, 0.8953, 0.0000)  1 Se 2.36
Se (0.8953, 0.6047, 0.0000)  1 Se 2.36
Se (0.1047, 0.3953, 0.0000)  1 Se 2.36

Entry 6:
VASP calculation (GGA-PBE) on a relaxed Cs2SeS crystal.

Output
raw formation energy = -1.96 eV per formula unit
crystal system = cubic

a = 6.0779 Å, b = 6.0779 Å, c = 6.0779 Å
α = 60.00°, β = 60.00°, γ = 60.00°
Last column: nearest neighbours and their distance in Å.
Atoms (fractional coordinates):
Se (0.5000, 0.5000, 0.5000)  8 Cs 3.72
Cs (0.7500, 0.7500, 0.7500)  4 Se 3.72, 4 S 3.72
Cs (0.2500, 0.2500, 0.2500)  4 Se 3.72, 4 S 3.72
S (0.0000, 0.0000, 0.0000)  8 Cs 3.72

Entry 7:
VASP calculation (GGA-PBE) on a relaxed Cs12Se5S2 crystal.

Output
raw formation energy = -18.82 eV per formula unit
crystal system = monoclinic

a = 8.4370 Å, b = 10.8655 Å, c = 12.1279 Å
α = 106.14°, β = 90.00°, γ = 112.85°
Last column: nearest neighbours and their distance in Å.
Atoms (fractional coordinates):
Se (0.6687, 0.3375, 0.8403)  5 Cs 3.48-3.79
Se (0.6947, 0.3893, 0.3432)  7 Cs 3.51-3.62
Se (0.3053, 0.6107, 0.6568)  7 Cs 3.51-3.62
Se (0.0000, 0.0000, 0.5000)  6 Cs 3.43-3.65
Se (0.3313, 0.6625, 0.1597)  5 Cs 3.48-3.79
Cs (0.5104, 0.0208, 0.1980)  2 Se 3.48-3.58
Cs (0.5695, 0.6395, 0.8949)  3 Se 3.51-3.79, 1 S 3.60
Cs (0.1020, 0.6925, 0.4425)  4 Se 3.60-3.93
Cs (0.0742, 0.1484, 0.7945)  1 Se 3.43, 2 S 3.44
Cs (0.4896, 0.9792, 0.8020)  2 Se 3.48-3.58
Cs (0.9258, 0.8516, 0.2055)  1 Se 3.43, 2 S 3.44
Cs (0.4305, 0.3605, 0.1051)  3 Se 3.52-3.79, 1 S 3.60
Cs (0.0701, 0.6395, 0.8949)  3 Se 3.51-3.79, 1 S 3.60
Cs (0.4096, 0.3075, 0.5575)  4 Se 3.60-3.93
Cs (0.5904, 0.6925, 0.4425)  4 Se 3.60-3.93
Cs (0.9299, 0.3605, 0.1051)  3 Se 3.51-3.79, 1 S 3.60
Cs (0.8980, 0.3075, 0.5575)  4 Se 3.60-3.93
S (0.8730, 0.0000, 0.0000)  1 S 2.14
S (0.1270, 0.0000, 0.0000)  1 S 2.14

Entry 8:
VASP calculation (GGA-PBE) on a relaxed CsSeS2 crystal.

Output
raw formation energy = -1.84 eV per formula unit
crystal system = monoclinic

a = 5.6807 Å, b = 7.2230 Å, c = 9.5829 Å
α = 104.00°, β = 97.17°, γ = 117.09°
Last column: nearest neighbours and their distance in Å.
Atoms (fractional coordinates):
Cs (0.9053, 0.6553, 0.8107)  6 S 3.64-3.89, 2 Se 3.67
Cs (0.0947, 0.3447, 0.1893)  6 S 3.64-3.89, 2 Se 3.67
S (0.1058, 0.2403, 0.7964)  1 S 2.12, 1 Se 2.36
S (0.8942, 0.7597, 0.2036)  1 S 2.12, 1 Se 2.36
S (0.6906, 0.0561, 0.7964)  1 S 2.12, 1 Se 2.36
S (0.3094, 0.9439, 0.2036)  1 S 2.12, 1 Se 2.36
Se (0.3332, 0.0832, 0.6663)  2 S 2.36
Se (0.6668, 0.9168, 0.3337)  2 S 2.36

Entry 9:
VASP calculation (GGA-PBE) on a relaxed Cs4Se2S5 crystal.

Output
raw formation energy = -7.39 eV per formula unit
crystal system = monoclinic

a = 5.2469 Å, b = 8.0553 Å, c = 9.9438 Å
α = 90.58°, β = 90.00°, γ = 90.00°
Last column: nearest neighbours and their distance in Å.
Atoms (fractional coordinates):
Cs (0.5000, 0.7578, 0.9111)  6 S 3.47-3.53, 2 Se 3.75
Cs (0.5000, 0.2516, 0.6397)  4 S 3.60-3.65, 2 Se 3.85
Cs (0.5000, 0.2422, 0.0889)  6 S 3.47-3.53, 2 Se 3.75
Cs (0.5000, 0.7484, 0.3603)  4 S 3.60-3.65, 2 Se 3.85
S (0.0000, 0.4690, 0.2398)  1 Se 2.35, 1 S 2.40
S (0.0000, 0.9988, 0.2197)  1 Se 2.21
S (0.0000, 0.5310, 0.7602)  1 Se 2.35, 1 S 2.40
S (0.0000, 0.5000, 0.0000)  2 S 2.40
S (0.0000, 0.0012, 0.7803)  1 Se 2.21
Se (0.0000, 0.7831, 0.6430)  2 S 2.21-2.35
Se (0.0000, 0.2169, 0.3570)  2 S 2.21-2.35

Entry 10:
VASP calculation (GGA-PBE) on a relaxed Cs2Se8S crystal.

Output
raw formation energy = -3.85 eV per formula unit
crystal system = triclinic

a = 7.5838 Å, b = 16.5255 Å, c = 12.9248 Å
α = 150.31°, β = 142.23°, γ = 28.48°
Last column: nearest neighbours and their distance in Å.
Atoms (fractional coordinates):
Se (0.9517, 0.0696, 0.3225)  1 Se 2.39, 1 S 2.54
Se (0.0483, 0.9304, 0.6775)  1 Se 2.39, 1 S 2.54
Se (0.7673, 0.6407, 0.8455)  2 Se 2.39-2.54
Se (0.6535, 0.4575, 0.9372)  2 Se 2.39-2.51
Se (0.2327, 0.3593, 0.1545)  2 Se 2.39-2.54
Se (0.3465, 0.5425, 0.0628)  2 Se 2.39-2.51
Se (0.7312, 0.3929, 0.6601)  2 Se 2.39-2.54
Se (0.2688, 0.6071, 0.3399)  2 Se 2.39-2.54
S (0.5000, 0.0000, 0.0000)  4 Se 2.54-2.83
Cs (0.6318, 0.8693, 0.6413)  1 S 3.65, 8 Se 3.70-4.08
Cs (0.3682, 0.1307, 0.3587)  1 S 3.65, 8 Se 3.70-4.08

Entry 11:
VASP calculation (GGA-PBE) on a relaxed CsSe3S crystal.

Output
raw formation energy = 0.02 eV per formula unit
crystal system = cubic

a = 5.1685 Å, b = 5.1685 Å, c = 5.1685 Å
α = 90.00°, β = 90.00°, γ = 90.00°
Last column: nearest neighbours and their distance in Å.
Atoms (fractional coordinates):
Cs (0.5000, 0.5000, 0.5000)  12 Se 3.65
Se (0.0000, 0.5000, 0.0000)  2 S 2.58
Se (0.5000, 0.0000, 0.0000)  2 S 2.58
Se (0.0000, 0.0000, 0.5000)  2 S 2.58
S (0.0000, 0.0000, 0.0000)  6 Se 2.58